First-principles (PBEsol) data for an optimized crystal structure of CuRu, as listed in the Alexandria database.

Lattice parameters (Å, degrees): 2.6043 3.8943 5.1190 90.00 104.74 90.00
Last column: nearest neighbours and their distance in Å.
Atoms (fractional coordinates):
Cu1 0.5603 0.7500 0.1206  2 Cu 2.28, 1 Ru 2.47
Ru1 0.8103 0.7500 0.6205  5 Cu 2.47-2.67, 6 Ru 2.60-2.63
Ru2 0.1897 0.2500 0.3795  5 Cu 2.47-2.67, 6 Ru 2.60-2.63
Cu2 0.4397 0.2500 0.8794  2 Cu 2.28, 1 Ru 2.47

Properties
The value obtained for the formation energy is 0.278 eV/atom. The calculation puts the magnetization at 0.00 μB per cell. As for the space-group type: Cmcm, No. 63.